A plane-wave DFT calculation with SCAN was carried out for a PBEsol-optimized structure of NiPbW2.

Structure (POSCAR):
```
NiPbW2
1.0
2.888 0.000 0.000
0.000 5.018 0.011
0.000 -2.272 4.474
Ni Pb W
1 1 2
direct
0.500 0.000 0.000
0.500 0.500 0.500
0.000 0.500 0.000
0.000 0.000 0.500
```

Results
Mass density, g cm⁻³: 16.21
E, eV per atom: -56.8765